No. 1
16
Lattice="7.088 0.000 0.000 0.000 7.088 0.000 0.000 0.000 7.088" Properties=species:S:1:pos:R:3 comment="HfAu2I PBE optimized geometry" dos_ef_per_ev_fu=3.28 formation_energy_uncorrected_ev_per_atom=0.308 polymorph_energy_ev_per_atom=0.305 pbc="T T T"
Hf 0.000 0.000 0.000
Hf 0.000 3.544 3.544
Hf 3.544 0.000 3.544
Hf 3.544 3.544 0.000
Au 1.772 1.772 1.772
Au 1.772 1.772 5.316
Au 1.772 5.316 1.772
Au 1.772 5.316 5.316
Au 5.316 1.772 1.772
Au 5.316 1.772 5.316
Au 5.316 5.316 1.772
Au 5.316 5.316 5.316
I 0.000 0.000 3.544
I 0.000 3.544 0.000
I 3.544 0.000 0.000
I 3.544 3.544 3.544

=====

No. 2
6
Lattice="4.379 0.000 0.000 0.000 4.379 0.000 0.000 0.000 6.306" Properties=species:S:1:pos:R:3 comment="LaTiCo PBE optimized geometry" dos_ef_per_ev_fu=3.55 formation_energy_mev_per_atom=-205 pbc="T T T"
La 1.095 1.095 0.758
La 3.285 3.285 5.548
Ti 1.095 3.285 3.153
Ti 3.285 1.095 3.153
Co 1.095 1.095 4.296
Co 3.285 3.285 2.009

=====

No. 3
12
Lattice="12.871 0.000 0.000 0.000 3.243 0.000 0.000 0.000 6.558" Properties=species:S:1:pos:R:3 comment="SmMgF PBE optimized geometry" dos_ef_per_ev_fu=1.50 formation_energy_uncorrected_ev_per_atom=-1.443 pbc="T T T"
Sm 2.747 0.000 0.000
Sm 2.747 1.621 3.279
Sm 10.123 0.000 0.000
Sm 10.123 1.621 3.279
Mg 0.000 0.000 4.599
Mg 0.000 1.621 1.320
Mg 6.435 0.000 3.287
Mg 6.435 1.621 0.008
F 5.176 0.000 6.553
F 5.176 1.621 3.274
F 7.695 0.000 6.553
F 7.695 1.621 3.274

=====

No. 4
12
Lattice="7.008 0.000 0.000 0.000 7.008 0.000 0.000 0.000 7.008" Properties=species:S:1:pos:R:3 comment="CdInSn PBE optimized geometry" dos_ef_per_ev_fu=2.85 polymorph_energy_ev_per_atom=0.053 formation_energy_mev_per_atom=92 pbc="T T T"
Cd 0.000 0.000 0.000
Cd 0.000 3.504 3.504
Cd 3.504 0.000 3.504
Cd 3.504 3.504 0.000
In 1.752 1.752 5.256
In 1.752 5.256 1.752
In 5.256 1.752 1.752
In 5.256 5.256 5.256
Sn 1.752 1.752 1.752
Sn 1.752 5.256 5.256
Sn 5.256 1.752 5.256
Sn 5.256 5.256 1.752